Below is a relaxed Sm2Dy2Al3 crystal, with properties calculated at the PBE level.

Output
Volume = 196.5 Å³/cell
Total DFT energy (no corrections) = -31.16 eV per formula unit
Symmetry = C2/m

Lattice parameters (Å, degrees): 8.8344 8.8344 5.8740 94.90 94.90 25.49
Element x y z (fractional)
Sm: 0.0876 0.0876 0.3500
Sm: 0.9124 0.9124 0.6500
Dy: 0.3347 0.3347 0.1373
Dy: 0.6653 0.6653 0.8627
Al: 0.2709 0.2709 0.6399
Al: 0.5000 0.5000 0.0000
Al: 0.7291 0.7291 0.3601

---

Below is a relaxed Dy2Al2Sn crystal, with properties calculated at the PBE level.

Output
Volume = 136.9 Å³/cell
Total DFT energy (no corrections) = -20.16 eV per formula unit
Symmetry = I4/mmm

Lattice parameters (Å, degrees): 7.0003 7.0003 7.0003 140.62 140.62 56.91
Element x y z (fractional)
Dy: 0.2500 0.7500 0.5000
Dy: 0.7500 0.2500 0.5000
Al: 0.0990 0.0990 0.0000
Al: 0.9010 0.9010 0.0000
Sn: 0.5000 0.5000 0.0000

---

Below is a relaxed TbDyAl crystal, with properties calculated at the PBE level.

Output
Volume = 318.3 Å³/cell
Total DFT energy (no corrections) = -13.84 eV per formula unit
Symmetry = Pnma

Lattice parameters (Å, degrees): 6.5580 5.1109 9.4973 90.00 90.00 90.00
Element x y z (fractional)
Tb: 0.1878 0.2500 0.0737
Tb: 0.3122 0.7500 0.5737
Tb: 0.6878 0.2500 0.4263
Tb: 0.8122 0.7500 0.9263
Dy: 0.0269 0.2500 0.7087
Dy: 0.4731 0.7500 0.2087
Dy: 0.5269 0.2500 0.7913
Dy: 0.9731 0.7500 0.2913
Al: 0.2067 0.2500 0.3974
Al: 0.2933 0.7500 0.8974
Al: 0.7067 0.2500 0.1026
Al: 0.7933 0.7500 0.6026

---

Below is a relaxed Tb2Dy2Al3 crystal, with properties calculated at the PBE level.

Output
Volume = 182.0 Å³/cell
Total DFT energy (no corrections) = -31.03 eV per formula unit
Symmetry = C2/m

Lattice parameters (Å, degrees): 6.5018 6.5018 6.6147 111.30 111.30 45.06
Element x y z (fractional)
Tb: 0.0442 0.0442 0.2803
Tb: 0.9558 0.9558 0.7197
Dy: 0.3192 0.3192 0.2036
Dy: 0.6808 0.6808 0.7964
Al: 0.2842 0.2842 0.6668
Al: 0.5000 0.5000 0.0000
Al: 0.7158 0.7158 0.3332

---

Below is a relaxed DyAl2Te4 crystal, with properties calculated at the PBE level.

Output
Volume = 254.9 Å³/cell
Total DFT energy (no corrections) = -28.33 eV per formula unit
Symmetry = I-4

Lattice parameters (Å, degrees): 7.4326 7.4326 7.4326 126.79 126.79 78.60
Element x y z (fractional)
Dy: 0.0000 0.0000 0.0000
Al: 0.2500 0.7500 0.5000
Al: 0.5000 0.5000 0.0000
Te: 0.1304 0.1286 0.5363
Te: 0.4059 0.8696 0.9982
Te: 0.5924 0.5941 0.4637
Te: 0.8714 0.4076 0.0018

---

Below is a relaxed DyAlTl crystal, with properties calculated at the PBE level.

Output
Distance to the lowest polymorph of the same formula = 23.6 kJ/mol of atoms
Volume = 78.9 Å³/cell
Symmetry = F-43m

Lattice parameters (Å, degrees): 4.8138 4.8138 4.8138 60.00 60.00 60.00
Element x y z (fractional)
Dy: 0.0000 0.0000 0.0000
Al: 0.2500 0.2500 0.2500
Tl: 0.5000 0.5000 0.5000

---

Below is a relaxed DyAlTl crystal, with properties calculated at the PBE level.

Output
Distance to the lowest polymorph of the same formula = 0.0 kJ/mol of atoms
Volume = 145.6 Å³/cell
Symmetry = Cmmm

Lattice parameters (Å, degrees): 7.4141 7.4141 4.6255 90.00 90.00 145.06
Element x y z (fractional)
Dy: 0.1585 0.8415 0.0000
Dy: 0.8415 0.1585 0.0000
Al: 0.3105 0.6895 0.5000
Al: 0.6895 0.3105 0.5000
Tl: 0.0000 0.0000 0.5000
Tl: 0.5000 0.5000 0.0000

---

Below is a relaxed DyTmAl4 crystal, with properties calculated at the PBE level.

Output
Volume = 123.8 Å³/cell
Total DFT energy (no corrections) = -26.29 eV per formula unit
Symmetry = Amm2

Lattice parameters (Å, degrees): 4.3046 7.0009 7.0009 35.92 90.00 90.00
Element x y z (fractional)
Dy: 0.0000 0.0000 0.0000
Tm: 0.0000 0.3104 0.3104
Al: 0.0000 0.6562 0.6562
Al: 0.5000 0.1562 0.1562
Al: 0.5000 0.4886 0.4886
Al: 0.5000 0.8182 0.8182

---

Below is a relaxed Dy2Tm2Al3 crystal, with properties calculated at the PBE level.

Output
Volume = 177.3 Å³/cell
Total DFT energy (no corrections) = -30.61 eV per formula unit
Symmetry = C2/m

Lattice parameters (Å, degrees): 6.3844 6.3844 6.6044 111.01 111.01 45.65
Element x y z (fractional)
Dy: 0.0402 0.0402 0.2784
Dy: 0.9598 0.9598 0.7216
Tm: 0.3155 0.3155 0.1995
Tm: 0.6845 0.6845 0.8005
Al: 0.2824 0.2824 0.6624
Al: 0.5000 0.5000 0.0000
Al: 0.7176 0.7176 0.3376

---

Below is a relaxed Dy2Tm5Al crystal, with properties calculated at the PBE level.

Output
Volume = 228.6 Å³/cell
Total DFT energy (no corrections) = -35.61 eV per formula unit
Symmetry = Amm2

Lattice parameters (Å, degrees): 5.4562 6.9571 6.9571 59.96 90.00 90.00
Element x y z (fractional)
Dy: 0.0000 0.0000 0.0000
Dy: 0.5000 0.3416 0.3416
Tm: 0.0000 0.5105 0.9992
Tm: 0.0000 0.9992 0.5105
Tm: 0.5000 0.3409 0.8297
Tm: 0.5000 0.8297 0.3409
Tm: 0.5000 0.8363 0.8363
Al: 0.0000 0.5054 0.5054

---

Below is a relaxed DyTmAl crystal, with properties calculated at the PBE level.

Output
Volume = 90.2 Å³/cell
Total DFT energy (no corrections) = -11.28 eV per formula unit
Symmetry = F-43m

Lattice parameters (Å, degrees): 5.0343 5.0343 5.0343 60.00 60.00 60.00
Element x y z (fractional)
Dy: 0.0000 0.0000 0.0000
Tm: 0.7500 0.7500 0.7500
Al: 0.5000 0.5000 0.5000

---

Below is a relaxed DyTm2Al crystal, with properties calculated at the PBE level.

Output
Distance to the lowest polymorph of the same formula = 0.0 kJ/mol of atoms
Volume = 208.0 Å³/cell
Symmetry = Cmcm

Lattice parameters (Å, degrees): 6.7595 6.7595 5.2665 90.00 90.00 120.18
Element x y z (fractional)
Dy: 0.1747 0.8253 0.7500
Dy: 0.8253 0.1747 0.2500
Tm: 0.1746 0.3474 0.7500
Tm: 0.3474 0.1746 0.2500
Tm: 0.6526 0.8254 0.7500
Tm: 0.8254 0.6526 0.2500
Al: 0.3348 0.6652 0.2500
Al: 0.6652 0.3348 0.7500